1.
# Tb2EuLu (GGA-PBE, relaxed)
data_Tb2EuLu
_chemical_formula_sum 'Tb2 Eu1 Lu1'
_cell_length_a 5.717
_cell_length_b 5.717
_cell_length_c 5.717
_cell_angle_alpha 60.00
_cell_angle_beta 60.00
_cell_angle_gamma 60.00
_space_group_name_H-M_alt 'P 1'
_space_group_IT_number 1
_space_group_name_Hall 'P 1'
loop_
_atom_site_label
_atom_site_type_symbol
_atom_site_fract_x
_atom_site_fract_y
_atom_site_fract_z
Tb1 Tb 0.250 0.250 0.250
Tb2 Tb 0.750 0.750 0.750
Eu1 Eu 0.000 0.000 0.000
Lu1 Lu 0.500 0.500 0.500
# M_tot: 8.04 Bohr magnetons per cell
# energy of formation from the pure elements: 161.3 meV/atom
# calculated volume: 132.1 Å³/cell
# DFT total energy: -5.85 eV per atom



2.
# Gd2SiCl (GGA-PBE, relaxed)
data_Gd2SiCl
_chemical_formula_sum 'Gd2 Si1 Cl1'
_cell_length_a 7.111
_cell_length_b 7.111
_cell_length_c 7.111
_cell_angle_alpha 33.99
_cell_angle_beta 33.99
_cell_angle_gamma 33.99
_space_group_name_H-M_alt 'P 1'
_space_group_IT_number 1
_space_group_name_Hall 'P 1'
loop_
_atom_site_label
_atom_site_type_symbol
_atom_site_fract_x
_atom_site_fract_y
_atom_site_fract_z
Gd1 Gd 0.242 0.242 0.242
Gd2 Gd 0.758 0.758 0.758
Si1 Si 0.500 0.500 0.500
Cl1 Cl 0.000 0.000 0.000
# ΔE_f (raw): -1.157 eV/atom
# M_tot: 14.03 Bohr magnetons per cell
# calculated volume: 100.2 Å³/cell
# DFT total energy: -10.02 eV per atom



3.
# BRhPbO5 (GGA-PBE, relaxed)
data_BRhPbO5
_chemical_formula_sum 'B2 Rh2 Pb2 O10'
_cell_length_a 5.046
_cell_length_b 5.046
_cell_length_c 8.550
_cell_angle_alpha 102.38
_cell_angle_beta 102.38
_cell_angle_gamma 103.81
_space_group_name_H-M_alt 'P 1'
_space_group_IT_number 1
_space_group_name_Hall 'P 1'
loop_
_atom_site_label
_atom_site_type_symbol
_atom_site_fract_x
_atom_site_fract_y
_atom_site_fract_z
B1 B 0.188 0.812 0.750
B2 B 0.812 0.188 0.250
Rh1 Rh 0.153 0.847 0.250
Rh2 Rh 0.847 0.153 0.750
Pb1 Pb 0.500 0.500 0.000
Pb2 Pb 0.500 0.500 0.500
O1 O 0.045 0.171 0.386
O2 O 0.144 0.534 0.791
O3 O 0.171 0.045 0.886
O4 O 0.388 0.612 0.250
O5 O 0.466 0.856 0.709
O6 O 0.534 0.144 0.291
O7 O 0.612 0.388 0.750
O8 O 0.829 0.955 0.114
O9 O 0.856 0.466 0.209
O10 O 0.955 0.829 0.614
# ΔE_f (raw): -1.032 eV/atom
# M_tot: 0.00 Bohr magnetons per cell
# calculated volume: 198.3 Å³/cell
# DFT total energy: -6.35 eV per atom



4.
# Ce2SmAg2Pb2 (GGA-PBE, relaxed)
data_Ce2SmAg2Pb2
_chemical_formula_sum 'Ce2 Sm1 Ag2 Pb2'
_cell_length_a 9.499
_cell_length_b 9.499
_cell_length_c 9.499
_cell_angle_alpha 29.50
_cell_angle_beta 29.50
_cell_angle_gamma 29.50
_space_group_name_H-M_alt 'P 1'
_space_group_IT_number 1
_space_group_name_Hall 'P 1'
loop_
_atom_site_label
_atom_site_type_symbol
_atom_site_fract_x
_atom_site_fract_y
_atom_site_fract_z
Ce1 Ce 0.144 0.144 0.144
Ce2 Ce 0.856 0.856 0.856
Sm1 Sm 0.000 0.000 0.000
Ag1 Ag 0.431 0.431 0.431
Ag2 Ag 0.569 0.569 0.569
Pb1 Pb 0.270 0.270 0.270
Pb2 Pb 0.730 0.730 0.730
# M_tot: 2.46 Bohr magnetons per cell
# energy of formation from the pure elements: -233.6 meV/atom
# calculated volume: 183.9 Å³/cell
# DFT total energy: -4.48 eV per atom



5.
# CaLaNd4Se8 (GGA-PBE, relaxed)
data_CaLaNd4Se8
_chemical_formula_sum 'Ca1 La1 Nd4 Se8'
_cell_length_a 8.766
_cell_length_b 8.766
_cell_length_c 8.766
_cell_angle_alpha 59.50
_cell_angle_beta 59.50
_cell_angle_gamma 59.50
_space_group_name_H-M_alt 'P 1'
_space_group_IT_number 1
_space_group_name_Hall 'P 1'
loop_
_atom_site_label
_atom_site_type_symbol
_atom_site_fract_x
_atom_site_fract_y
_atom_site_fract_z
Ca1 Ca 0.000 0.000 0.000
La1 La 0.373 0.373 0.373
Nd1 Nd 0.372 0.372 0.880
Nd2 Nd 0.372 0.880 0.372
Nd3 Nd 0.749 0.749 0.749
Nd4 Nd 0.880 0.372 0.372
Se1 Se 0.130 0.130 0.601
Se2 Se 0.130 0.601 0.130
Se3 Se 0.132 0.132 0.132
Se4 Se 0.148 0.618 0.618
Se5 Se 0.601 0.130 0.130
Se6 Se 0.616 0.616 0.616
Se7 Se 0.618 0.148 0.618
Se8 Se 0.618 0.618 0.148
# ΔE_f (raw): -1.819 eV/atom
# M_tot: 0.00 Bohr magnetons per cell
# calculated volume: 470.9 Å³/cell
# DFT total energy: -5.67 eV per atom



6.
# YThBi2 (GGA-PBE, relaxed)
data_YThBi2
_chemical_formula_sum 'Y1 Th1 Bi2'
_cell_length_a 8.201
_cell_length_b 8.201
_cell_length_c 8.201
_cell_angle_alpha 31.69
_cell_angle_beta 31.69
_cell_angle_gamma 31.69
_space_group_name_H-M_alt 'P 1'
_space_group_IT_number 1
_space_group_name_Hall 'P 1'
loop_
_atom_site_label
_atom_site_type_symbol
_atom_site_fract_x
_atom_site_fract_y
_atom_site_fract_z
Y1 Y 0.000 0.000 0.000
Th1 Th 0.172 0.172 0.172
Bi1 Bi 0.588 0.588 0.588
Bi2 Bi 0.752 0.752 0.752
# M_tot: 0.00 Bohr magnetons per cell
# energy of formation from the pure elements: -640.4 meV/atom
# calculated volume: 135.2 Å³/cell
# DFT total energy: -6.05 eV per atom



7.
# Sr2ErPdO5 (GGA-PBE, relaxed)
data_Sr2ErPdO5
_chemical_formula_sum 'Sr4 Er2 Pd2 O10'
_cell_length_a 6.476
_cell_length_b 6.476
_cell_length_c 6.090
_cell_angle_alpha 90.00
_cell_angle_beta 90.00
_cell_angle_gamma 90.00
_space_group_name_H-M_alt 'P 1'
_space_group_IT_number 1
_space_group_name_Hall 'P 1'
loop_
_atom_site_label
_atom_site_type_symbol
_atom_site_fract_x
_atom_site_fract_y
_atom_site_fract_z
Sr1 Sr 0.163 0.337 0.000
Sr2 Sr 0.337 0.837 0.000
Sr3 Sr 0.663 0.163 0.000
Sr4 Sr 0.837 0.663 0.000
Er1 Er 0.000 0.000 0.500
Er2 Er 0.500 0.500 0.500
Pd1 Pd 0.000 0.500 0.500
Pd2 Pd 0.500 0.000 0.500
O1 O 0.000 0.000 0.000
O2 O 0.164 0.664 0.289
O3 O 0.164 0.664 0.711
O4 O 0.336 0.164 0.289
O5 O 0.336 0.164 0.711
O6 O 0.500 0.500 0.000
O7 O 0.664 0.836 0.289
O8 O 0.664 0.836 0.711
O9 O 0.836 0.336 0.289
O10 O 0.836 0.336 0.711
# ΔE_f (raw): -1.989 eV/atom
# M_tot: 2.07 Bohr magnetons per cell
# calculated volume: 255.4 Å³/cell
# DFT total energy: -6.20 eV per atom



8.
# CdSnMo3 (GGA-PBE, relaxed)
data_CdSnMo3
_chemical_formula_sum 'Cd1 Sn1 Mo3'
_cell_length_a 4.922
_cell_length_b 4.922
_cell_length_c 4.922
_cell_angle_alpha 90.00
_cell_angle_beta 90.00
_cell_angle_gamma 90.00
_space_group_name_H-M_alt 'P 1'
_space_group_IT_number 1
_space_group_name_Hall 'P 1'
loop_
_atom_site_label
_atom_site_type_symbol
_atom_site_fract_x
_atom_site_fract_y
_atom_site_fract_z
Cd1 Cd 0.000 0.000 0.000
Sn1 Sn 0.500 0.500 0.500
Mo1 Mo 0.000 0.500 0.500
Mo2 Mo 0.500 0.000 0.500
Mo3 Mo 0.500 0.500 0.000
# M_tot: 0.00 Bohr magnetons per cell
# energy of formation from the pure elements: 2052.6 meV/atom
# calculated volume: 119.3 Å³/cell
# DFT total energy: -5.43 eV per atom



Look up the DFT total energy of the first one. -5.85 eV per atom



Among the records above, which one has the highest M_tot? Gd2SiCl



What did the seventh record say?
# Sr2ErPdO5 (GGA-PBE, relaxed)
data_Sr2ErPdO5
_chemical_formula_sum 'Sr4 Er2 Pd2 O10'
_cell_length_a 6.476
_cell_length_b 6.476
_cell_length_c 6.090
_cell_angle_alpha 90.00
_cell_angle_beta 90.00
_cell_angle_gamma 90.00
_space_group_name_H-M_alt 'P 1'
_space_group_IT_number 1
_space_group_name_Hall 'P 1'
loop_
_atom_site_label
_atom_site_type_symbol
_atom_site_fract_x
_atom_site_fract_y
_atom_site_fract_z
Sr1 Sr 0.163 0.337 0.000
Sr2 Sr 0.337 0.837 0.000
Sr3 Sr 0.663 0.163 0.000
Sr4 Sr 0.837 0.663 0.000
Er1 Er 0.000 0.000 0.500
Er2 Er 0.500 0.500 0.500
Pd1 Pd 0.000 0.500 0.500
Pd2 Pd 0.500 0.000 0.500
O1 O 0.000 0.000 0.000
O2 O 0.164 0.664 0.289
O3 O 0.164 0.664 0.711
O4 O 0.336 0.164 0.289
O5 O 0.336 0.164 0.711
O6 O 0.500 0.500 0.000
O7 O 0.664 0.836 0.289
O8 O 0.664 0.836 0.711
O9 O 0.836 0.336 0.289
O10 O 0.836 0.336 0.711
# ΔE_f (raw): -1.989 eV/atom
# M_tot: 2.07 Bohr magnetons per cell
# calculated volume: 255.4 Å³/cell
# DFT total energy: -6.20 eV per atom



Look up the calculated volume of the sixth one. 135.2 Å³/cell